A plane-wave DFT calculation with GGA-PBE was carried out for crystalline NaNbZnTe2 at its relaxed geometry.

Properties
total magnetization = 2.56 μB per cell
total DFT energy (no corrections) = -13.1 eV per formula unit

abc: 5.3792 5.3077 5.3792
angles: 90.00 90.00 90.00
Last column: magnetic moment on the atom in μB.
Atoms (fractional coordinates):
Te (0.5000, 0.0000, 0.0000)  -0.27
Te (0.0000, 0.0000, 0.5000)  -0.27
Na (0.0000, 0.0000, 0.0000)  0.03
Zn (0.5000, 0.5000, 0.5000)  -0.11
Nb (0.0000, 0.5000, 0.0000)  2.77